# La9NdSn2 PBE optimized geometry
data_La9NdSn2
_chemical_formula_sum 'La9 Nd1 Sn2'
_symmetry_space_group_name_H-M 'P 1'
_symmetry_Int_Tables_number 1
_symmetry_space_group_name_Hall 'P 1'
_cell_length_a 5.075
_cell_length_b 5.075
_cell_length_c 15.552
_cell_angle_alpha 90.00
_cell_angle_beta 90.00
_cell_angle_gamma 90.00
loop_
_atom_site_label
_atom_site_type_symbol
_atom_site_fract_x
_atom_site_fract_y
_atom_site_fract_z
La1 La 0.500 0.500 0.000
La2 La 0.500 0.500 0.340
La3 La 0.500 0.500 0.660
La4 La 0.500 0.000 0.176
La5 La 0.500 0.000 0.500
La6 La 0.500 0.000 0.824
La7 La 0.000 0.500 0.176
La8 La 0.000 0.500 0.500
La9 La 0.000 0.500 0.824
Nd1 Nd 0.000 0.000 0.000
Sn1 Sn 0.000 0.000 0.338
Sn2 Sn 0.000 0.000 0.662
# final energy = -60.8 eV per cell
# DOS(E_F) = 16.85 states/eV/cell
# calculated formation energy = -0.305 eV/atom

***

# NbP2SeCl PBE optimized geometry
data_NbP2SeCl
_chemical_formula_sum 'Nb1 P2 Se1 Cl1'
_symmetry_space_group_name_H-M 'P 1'
_symmetry_Int_Tables_number 1
_symmetry_space_group_name_Hall 'P 1'
_cell_length_a 4.935
_cell_length_b 4.935
_cell_length_c 4.675
_cell_angle_alpha 90.00
_cell_angle_beta 90.00
_cell_angle_gamma 90.00
loop_
_atom_site_label
_atom_site_type_symbol
_atom_site_fract_x
_atom_site_fract_y
_atom_site_fract_z
P1 P 0.000 0.500 0.000
P2 P 0.500 0.000 0.000
Nb1 Nb 0.000 0.000 0.000
Se1 Se 0.500 0.500 0.500
Cl1 Cl 0.000 0.000 0.500
# final energy = -24.7 eV per cell
# raw formation energy = 29 kJ/mol of atoms
# DOS(E_F) = 4.06 states/eV/cell

***

# NaSiH2 PBE optimized geometry
data_NaSiH2
_chemical_formula_sum 'Na2 Si2 H4'
_symmetry_space_group_name_H-M 'P 1'
_symmetry_Int_Tables_number 1
_symmetry_space_group_name_Hall 'P 1'
_cell_length_a 4.311
_cell_length_b 4.311
_cell_length_c 6.463
_cell_angle_alpha 70.52
_cell_angle_beta 70.52
_cell_angle_gamma 90.00
loop_
_atom_site_label
_atom_site_type_symbol
_atom_site_fract_x
_atom_site_fract_y
_atom_site_fract_z
Na1 Na 0.500 0.500 0.000
Na2 Na 0.250 0.750 0.500
Si1 Si 0.000 0.000 0.000
Si2 Si 0.750 0.250 0.500
H1 H 0.848 0.125 0.250
H2 H 0.902 0.625 0.250
H3 H 0.375 0.152 0.750
H4 H 0.875 0.098 0.750
# final energy = -24.3 eV per cell
# DOS(E_F) = 2.63 states/eV/cell

***

no.,spin magnetization (μB/atom)
1,0.00
2,0.00
3,0.00